No. 1
A geometry-optimized YMo2Cl structure. Source: the Alexandria database, functional PBE-GGA.

## Properties
D(E_F) in states/eV/cell: 2.54
Space-group type: Cm (8)
Raw formation energy in kJ per mole of atoms: 1.19
Total magnetic moment in μB per cell: 0.00

extended XYZ file:
```
8
Lattice="7.484 0.000 0.000 0.000 3.250 0.000 -2.517 0.000 7.250" Properties=species:S:1:pos:R:3 pbc="T T T"
Y 0.000 0.000 0.000
Y 3.742 1.625 0.000
Mo -0.464 0.000 5.342
Mo 1.542 0.000 4.189
Mo 3.278 1.625 5.342
Mo 5.285 1.625 4.189
Cl 1.406 1.625 2.051
Cl 5.148 0.000 2.051
```

No. 2
A geometry-optimized YMoCl4 structure. Source: the Alexandria database, functional PBE-GGA.

## Properties
D(E_F) in states/eV/cell: 6.60
Space-group type: F-43m (216)
Raw formation energy in kJ per mole of atoms: 33.79
Total magnetic moment in μB per cell: 6.40

extended XYZ file:
```
6
Lattice="0.000 4.145 4.145 4.145 0.000 4.145 4.145 4.145 0.000" Properties=species:S:1:pos:R:3 pbc="T T T"
Y 0.000 0.000 0.000
Mo 2.073 2.073 2.073
Cl 5.181 3.109 3.109
Cl 3.109 5.181 3.109
Cl 3.109 3.109 5.181
Cl 5.181 5.181 5.181
```

No. 3
A geometry-optimized ZnMo2Cl structure. Source: the Alexandria database, functional PBE-GGA.

## Properties
D(E_F) in states/eV/cell: 2.83
Space-group type: Pm (6)
Raw formation energy in kJ per mole of atoms: 41.22
Total magnetic moment in μB per cell: 0.00

extended XYZ file:
```
4
Lattice="2.859 0.000 0.000 0.000 4.503 0.000 -0.605 0.000 4.992" Properties=species:S:1:pos:R:3 pbc="T T T"
Zn 0.000 0.000 0.000
Mo 0.602 2.252 3.655
Mo 1.436 0.000 2.520
Cl 1.426 2.252 1.137
```

No. 4
A geometry-optimized ZnMo2Cl structure. Source: the Alexandria database, functional PBE-GGA.

## Properties
D(E_F) in states/eV/cell: 2.56
Space-group type: P4mm (99)
Raw formation energy in kJ per mole of atoms: 19.96
Total magnetic moment in μB per cell: 0.00

extended XYZ file:
```
4
Lattice="3.138 0.000 0.000 0.000 3.138 0.000 0.000 0.000 7.692" Properties=species:S:1:pos:R:3 pbc="T T T"
Zn 0.000 0.000 0.000
Mo 0.000 0.000 4.693
Mo 1.569 1.569 6.071
Cl 1.569 1.569 2.879
```

No. 5
A geometry-optimized ZnMo2Cl structure. Source: the Alexandria database, functional PBE-GGA.

## Properties
D(E_F) in states/eV/cell: 7.11
Space-group type: Cm (8)
Raw formation energy in kJ per mole of atoms: 52.04
Total magnetic moment in μB per cell: 0.00

extended XYZ file:
```
8
Lattice="10.227 0.000 0.000 0.000 2.849 0.000 -1.921 0.000 4.429" Properties=species:S:1:pos:R:3 pbc="T T T"
Zn 0.000 0.000 0.000
Zn 5.113 1.425 0.000
Mo 0.916 0.000 3.624
Mo 4.078 0.000 2.245
Mo 6.030 1.425 3.624
Mo 9.192 1.425 2.245
Cl 2.305 1.425 1.128
Cl 7.418 0.000 1.128
```

No. 6
A geometry-optimized ZnMo2Cl structure. Source: the Alexandria database, functional PBE-GGA.

## Properties
D(E_F) in states/eV/cell: 7.30
Space-group type: I-4m2 (119)
Raw formation energy in kJ per mole of atoms: 72.65
Total magnetic moment in μB per cell: 0.00

extended XYZ file:
```
8
Lattice="4.015 0.000 0.000 0.000 4.015 0.000 0.000 0.000 7.881" Properties=species:S:1:pos:R:3 pbc="T T T"
Zn 0.000 0.000 0.000
Zn 2.008 2.008 3.941
Mo 0.000 0.000 3.941
Mo 0.000 2.008 1.970
Mo 2.008 0.000 5.911
Mo 2.008 2.008 0.000
Cl 0.000 2.008 5.911
Cl 2.008 0.000 1.970
```

No. 7
A geometry-optimized ZnMo2Cl structure. Source: the Alexandria database, functional PBE-GGA.

## Properties
D(E_F) in states/eV/cell: 29.01
Space-group type: Fm-3m (225)
Raw formation energy in kJ per mole of atoms: 81.15
Total magnetic moment in μB per cell: 0.00

extended XYZ file:
```
16
Lattice="6.211 0.000 0.000 0.000 6.211 0.000 0.000 0.000 6.211" Properties=species:S:1:pos:R:3 pbc="T T T"
Zn 0.000 0.000 0.000
Zn 0.000 3.106 3.106
Zn 3.106 0.000 3.106
Zn 3.106 3.106 0.000
Mo 1.553 1.553 1.553
Mo 1.553 1.553 4.658
Mo 1.553 4.658 1.553
Mo 1.553 4.658 4.658
Mo 4.658 1.553 1.553
Mo 4.658 1.553 4.658
Mo 4.658 4.658 1.553
Mo 4.658 4.658 4.658
Cl 0.000 0.000 3.106
Cl 0.000 3.106 0.000
Cl 3.106 0.000 0.000
Cl 3.106 3.106 3.106
```

No. 8
A geometry-optimized ZnMo3Cl structure. Source: the Alexandria database, functional PBE-GGA.

## Properties
D(E_F) in states/eV/cell: 4.06
Space-group type: Pm-3m (221)
Raw formation energy in kJ per mole of atoms: 95.82
Total magnetic moment in μB per cell: 0.00

extended XYZ file:
```
5
Lattice="4.400 0.000 0.000 0.000 4.400 0.000 0.000 0.000 4.400" Properties=species:S:1:pos:R:3 pbc="T T T"
Zn 0.000 0.000 0.000
Mo 0.000 2.200 2.200
Mo 2.200 0.000 2.200
Mo 2.200 2.200 0.000
Cl 2.200 2.200 2.200
```

No. 9
A geometry-optimized ZnMo2Cl structure. Source: the Alexandria database, functional PBE-GGA.

## Properties
D(E_F) in states/eV/cell: 2.09
Space-group type: P2/m (10)
Raw formation energy in kJ per mole of atoms: 43.01
Total magnetic moment in μB per cell: 0.00

extended XYZ file:
```
4
Lattice="3.260 0.000 0.000 0.000 4.654 0.000 -0.649 0.000 4.898" Properties=species:S:1:pos:R:3 pbc="T T T"
Zn 0.000 0.000 0.000
Mo 0.896 2.327 0.886
Mo 1.715 2.327 4.011
Cl 1.305 0.000 2.449
```

No. 10
A geometry-optimized ZnMo2Cl structure. Source: the Alexandria database, functional PBE-GGA.

## Properties
D(E_F) in states/eV/cell: 4.06
Space-group type: Cmm2 (35)
Raw formation energy in kJ per mole of atoms: 17.82
Total magnetic moment in μB per cell: 0.00

extended XYZ file:
```
8
Lattice="3.214 0.000 0.000 0.000 4.894 0.000 0.000 0.000 8.601" Properties=species:S:1:pos:R:3 pbc="T T T"
Zn 0.000 0.000 0.000
Zn 1.607 2.447 0.000
Mo 0.000 0.000 4.478
Mo 0.000 2.447 6.442
Mo 1.607 0.000 6.442
Mo 1.607 2.447 4.478
Cl 0.000 2.447 2.340
Cl 1.607 0.000 2.340
```

No. 11
A geometry-optimized ZnMo2Cl structure. Source: the Alexandria database, functional PBE-GGA.

## Properties
D(E_F) in states/eV/cell: 11.37
Space-group type: R-3m (166)
Raw formation energy in kJ per mole of atoms: 39.60
Total magnetic moment in μB per cell: 0.00

extended XYZ file:
```
12
Lattice="2.880 0.000 0.000 -1.440 2.494 0.000 0.000 0.000 25.730" Properties=species:S:1:pos:R:3 pbc="T T T"
Zn 0.000 0.000 0.000
Zn 0.000 1.663 17.153
Zn 1.440 0.831 8.577
Mo 0.000 0.000 6.341
Mo 0.000 0.000 19.389
Mo 0.000 1.663 10.812
Mo 0.000 1.663 23.494
Mo 1.440 0.831 2.236
Mo 1.440 0.831 14.918
Cl 0.000 0.000 12.865
Cl 0.000 1.663 4.288
Cl 1.440 0.831 21.442
```

No. 12
A geometry-optimized ZnMo2Cl structure. Source: the Alexandria database, functional PBE-GGA.

## Properties
D(E_F) in states/eV/cell: 3.72
Space-group type: P2/m (10)
Raw formation energy in kJ per mole of atoms: 56.32
Total magnetic moment in μB per cell: 0.00

extended XYZ file:
```
4
Lattice="4.695 0.000 0.000 0.000 2.855 0.000 -1.452 0.000 4.729" Properties=species:S:1:pos:R:3 pbc="T T T"
Zn 0.000 0.000 0.000
Mo 1.622 0.000 2.364
Mo 2.347 1.428 0.000
Cl -0.726 1.428 2.364
```

Which formula does entry 10 have?
ZnMo2Cl